(1)
{"formula": "MgZr3Ta", "functional": "PBE", "state": "optimized geometry", "lattice_angstrom": [[5.168, 0.000, 0.000], [0.000, 5.168, 0.000], [0.000, 0.000, 5.168]], "species": ["Mg", "Zr", "Zr", "Zr", "Ta"], "frac_coords": [[0.000, 0.000, 0.000], [0.000, 0.500, 0.500], [0.500, 0.000, 0.500], [0.500, 0.500, 0.000], [0.500, 0.500, 0.500]], "e_above_lowest_polymorph_mev_per_atom": 0, "sg": "Pm-3m", "delta_e_f_ev_per_atom": 0.84, "mass_density_kg_m3": 5761}


(2)
{"formula": "MgZrTa", "functional": "PBE", "state": "optimized geometry", "lattice_angstrom": [[0.000, 2.242, 7.425], [1.880, 0.000, 7.425], [1.880, 2.242, 0.000]], "species": ["Mg", "Zr", "Ta"], "frac_coords": [[0.000, 0.000, 0.000], [0.682, 0.682, 0.318], [0.336, 0.336, 0.664]], "e_above_lowest_polymorph_mev_per_atom": 97, "sg": "Fmm2", "delta_e_f_ev_per_atom": 0.14, "mass_density_kg_m3": 7865}


(3)
{"formula": "MgZrTa", "functional": "PBE", "state": "optimized geometry", "lattice_angstrom": [[-1.538, 2.084, 4.800], [1.538, -2.084, 4.800], [1.538, 2.084, -4.800]], "species": ["Mg", "Zr", "Ta"], "frac_coords": [[0.000, 0.000, 0.000], [0.323, 0.323, 0.000], [0.664, 0.664, 0.000]], "e_above_lowest_polymorph_mev_per_atom": 146, "sg": "Imm2", "delta_e_f_ev_per_atom": 0.19, "mass_density_kg_m3": 8001}